Record 1
LiMnP | PBE | optimized geometry

Values from the calculation:
Final energy ... -5.73 eV/atom
DFT formation energy ... -0.23 eV per atom
N(E_F) ... 2.0 states/eV/cell
Space group ... I4mm (107)
Density ... 4.3 g/cm³

a = 2.918 Å, b = 2.918 Å, c = 8.415 Å
α = 90.00°, β = 90.00°, γ = 90.00°
Positions (direct):
Li 0.000 0.000 0.000
Li 0.500 0.500 0.500
Mn 0.000 0.000 0.697
Mn 0.500 0.500 0.197
P 0.000 0.000 0.317
P 0.500 0.500 0.817

=====

Record 2
Bi3AsRh | PBE | optimized geometry

Values from the calculation:
Final energy ... -3.70 eV/atom
DFT formation energy ... 1.03 eV per atom
N(E_F) ... 8.4 states/eV/cell
Space group ... Pm-3m (221)
Polymorph energy (0 for the lowest one) ... 603 meV per atom
Density ... 8.4 g/cm³

a = 5.425 Å, b = 5.425 Å, c = 5.425 Å
α = 90.00°, β = 90.00°, γ = 90.00°
Positions (direct):
Bi 0.000 0.000 0.500
Bi 0.000 0.500 0.000
Bi 0.500 0.000 0.000
As 0.000 0.000 0.000
Rh 0.500 0.500 0.500

=====

Record 3
Sb2MoH | PBE | optimized geometry

Values from the calculation:
Final energy ... -5.02 eV/atom
N(E_F) ... 11.2 states/eV/cell
Space group ... I-42d (122)
Polymorph energy (0 for the lowest one) ... 0 meV per atom
Density ... 8.3 g/cm³

a = 6.418 Å, b = 6.418 Å, c = 6.652 Å
α = 90.00°, β = 90.00°, γ = 90.00°
Positions (direct):
Sb 0.173 0.250 0.125
Sb 0.250 0.673 0.375
Sb 0.250 0.827 0.875
Sb 0.327 0.250 0.625
Sb 0.673 0.750 0.625
Sb 0.750 0.173 0.875
Sb 0.750 0.327 0.375
Sb 0.827 0.750 0.125
Mo 0.000 0.000 0.500
Mo 0.000 0.500 0.750
Mo 0.500 0.000 0.250
Mo 0.500 0.500 0.000
H 0.000 0.000 0.000
H 0.000 0.500 0.250
H 0.500 0.000 0.750
H 0.500 0.500 0.500

=====

Record 4
KCa2Au3 | PBE | optimized geometry

Values from the calculation:
Final energy ... -3.13 eV/atom
DFT formation energy ... -0.64 eV per atom
N(E_F) ... 1.9 states/eV/cell
Space group ... P4/mmm (123)
Density ... 7.3 g/cm³

a = 3.743 Å, b = 3.743 Å, c = 11.457 Å
α = 90.00°, β = 90.00°, γ = 90.00°
Positions (direct):
K 0.000 0.000 0.000
Ca 0.000 0.000 0.347
Ca 0.000 0.000 0.653
Au 0.500 0.500 0.212
Au 0.500 0.500 0.500
Au 0.500 0.500 0.788

=====

Look up the N(E_F) of the first one.
2.0 states/eV/cell

=====

Please write out number 4 again, unchanged.
KCa2Au3 | PBE | optimized geometry

Values from the calculation:
Final energy ... -3.13 eV/atom
DFT formation energy ... -0.64 eV per atom
N(E_F) ... 1.9 states/eV/cell
Space group ... P4/mmm (123)
Density ... 7.3 g/cm³

a = 3.743 Å, b = 3.743 Å, c = 11.457 Å
α = 90.00°, β = 90.00°, γ = 90.00°
Positions (direct):
K 0.000 0.000 0.000
Ca 0.000 0.000 0.347
Ca 0.000 0.000 0.653
Au 0.500 0.500 0.212
Au 0.500 0.500 0.500
Au 0.500 0.500 0.788